Below is a geometry-optimized BeRh4Pb structure, with properties calculated at the PBE level.

The formation enthalpy at 0 K comes out at 0.379 eV/atom. Its volume is 16.51 Å³ per atom. The value obtained for the spin magnetization is 0.000 μB/atom.

Cell and atoms, written as CIF:
```
data_BeRh4Pb
_chemical_formula_sum 'Be4 Rh16 Pb4'
_space_group_name_H-M_alt 'F -4 3 m'
_space_group_IT_number 216
_space_group_name_Hall 'F -4 2 3'
_cell_length_a 7.345
_cell_length_b 7.345
_cell_length_c 7.345
_cell_angle_alpha 90.00
_cell_angle_beta 90.00
_cell_angle_gamma 90.00
loop_
_atom_site_label
_atom_site_fract_x
_atom_site_fract_y
_atom_site_fract_z
_atom_site_occupancy
Be1 0.000 0.000 0.000 1
Rh1 0.125 0.125 0.625 1
Pb1 0.250 0.250 0.250 1
```

Below is a geometry-optimized BeSi2RhPb structure, with properties calculated at the PBE level.

Its volume is 23.61 Å³ per atom. The uncorrected formation energy comes out at 659 meV per atom. The value obtained for the spin magnetization is 0.000 μB/atom.

Cell and atoms, written as CIF:
```
data_BeSi2RhPb
_chemical_formula_sum 'Be1 Si2 Rh1 Pb1'
_space_group_name_H-M_alt 'P 4/m m m'
_space_group_IT_number 123
_space_group_name_Hall '-P 4 2'
_cell_length_a 4.458
_cell_length_b 4.458
_cell_length_c 5.939
_cell_angle_alpha 90.00
_cell_angle_beta 90.00
_cell_angle_gamma 90.00
loop_
_atom_site_label
_atom_site_fract_x
_atom_site_fract_y
_atom_site_fract_z
_atom_site_occupancy
Be1 0.000 0.000 0.000 1
Si1 0.000 0.500 0.500 1
Rh1 0.500 0.500 0.500 1
Pb1 0.500 0.500 0.000 1
```

Below is a geometry-optimized Be4RuPb structure, with properties calculated at the PBE level.

The formation enthalpy at 0 K comes out at 0.114 eV/atom. Its volume is 11.47 Å³ per atom. The value obtained for the spin magnetization is 0.000 μB/atom.

Cell and atoms, written as CIF:
```
data_Be4RuPb
_chemical_formula_sum 'Be16 Ru4 Pb4'
_space_group_name_H-M_alt 'F -4 3 m'
_space_group_IT_number 216
_space_group_name_Hall 'F -4 2 3'
_cell_length_a 6.505
_cell_length_b 6.505
_cell_length_c 6.505
_cell_angle_alpha 90.00
_cell_angle_beta 90.00
_cell_angle_gamma 90.00
loop_
_atom_site_label
_atom_site_fract_x
_atom_site_fract_y
_atom_site_fract_z
_atom_site_occupancy
Be1 0.123 0.123 0.123 1
Ru1 0.250 0.250 0.750 1
Pb1 0.000 0.000 0.500 1
```

Below is a geometry-optimized BeRuPb3 structure, with properties calculated at the PBE level.

The energy relative to the lowest polymorph listed for this composition is 0 meV/atom. The formation enthalpy at 0 K comes out at 0.778 eV/atom. Its volume is 29.14 Å³ per atom. The value obtained for the spin magnetization is 0.000 μB/atom.

Cell and atoms, written as CIF:
```
data_BeRuPb3
_chemical_formula_sum 'Be1 Ru1 Pb3'
_space_group_name_H-M_alt 'P m -3 m'
_space_group_IT_number 221
_space_group_name_Hall '-P 4 2 3'
_cell_length_a 5.262
_cell_length_b 5.262
_cell_length_c 5.262
_cell_angle_alpha 90.00
_cell_angle_beta 90.00
_cell_angle_gamma 90.00
loop_
_atom_site_label
_atom_site_fract_x
_atom_site_fract_y
_atom_site_fract_z
_atom_site_occupancy
Be1 0.000 0.000 0.000 1
Ru1 0.500 0.500 0.500 1
Pb1 0.000 0.500 0.500 1
```

Below is a geometry-optimized BeRuPb3 structure, with properties calculated at the PBE level.

The energy relative to the lowest polymorph listed for this composition is 219 meV/atom. The formation enthalpy at 0 K comes out at 0.996 eV/atom. Its volume is 24.59 Å³ per atom. The value obtained for the spin magnetization is 0.335 μB/atom.

Cell and atoms, written as CIF:
```
data_BeRuPb3
_chemical_formula_sum 'Be1 Ru1 Pb3'
_space_group_name_H-M_alt 'P m -3 m'
_space_group_IT_number 221
_space_group_name_Hall '-P 4 2 3'
_cell_length_a 4.972
_cell_length_b 4.972
_cell_length_c 4.972
_cell_angle_alpha 90.00
_cell_angle_beta 90.00
_cell_angle_gamma 90.00
loop_
_atom_site_label
_atom_site_fract_x
_atom_site_fract_y
_atom_site_fract_z
_atom_site_occupancy
Be1 0.000 0.000 0.000 1
Ru1 0.500 0.500 0.500 1
Pb1 0.000 0.000 0.500 1
```

Below is a geometry-optimized BeRuPb structure, with properties calculated at the PBE level.

The energy relative to the lowest polymorph listed for this composition is 298 meV/atom. The formation enthalpy at 0 K comes out at 0.451 eV/atom. Its volume is 16.42 Å³ per atom. The value obtained for the spin magnetization is 0.000 μB/atom.

Cell and atoms, written as CIF:
```
data_BeRuPb
_chemical_formula_sum 'Be4 Ru4 Pb4'
_space_group_name_H-M_alt 'F -4 3 m'
_space_group_IT_number 216
_space_group_name_Hall 'F -4 2 3'
_cell_length_a 5.818
_cell_length_b 5.818
_cell_length_c 5.818
_cell_angle_alpha 90.00
_cell_angle_beta 90.00
_cell_angle_gamma 90.00
loop_
_atom_site_label
_atom_site_fract_x
_atom_site_fract_y
_atom_site_fract_z
_atom_site_occupancy
Be1 0.000 0.000 0.000 1
Ru1 0.250 0.250 0.750 1
Pb1 0.250 0.250 0.250 1
```

Below is a geometry-optimized BeRuPb4 structure, with properties calculated at the PBE level.

The formation enthalpy at 0 K comes out at 1.204 eV/atom. Its volume is 28.39 Å³ per atom. The value obtained for the spin magnetization is 0.234 μB/atom.

Cell and atoms, written as CIF:
```
data_BeRuPb4
_chemical_formula_sum 'Be4 Ru4 Pb16'
_space_group_name_H-M_alt 'F -4 3 m'
_space_group_IT_number 216
_space_group_name_Hall 'F -4 2 3'
_cell_length_a 8.799
_cell_length_b 8.799
_cell_length_c 8.799
_cell_angle_alpha 90.00
_cell_angle_beta 90.00
_cell_angle_gamma 90.00
loop_
_atom_site_label
_atom_site_fract_x
_atom_site_fract_y
_atom_site_fract_z
_atom_site_occupancy
Be1 0.000 0.000 0.000 1
Ru1 0.250 0.250 0.250 1
Pb1 0.125 0.125 0.625 1
```

Below is a geometry-optimized BeRuPb structure, with properties calculated at the PBE level.

The energy relative to the lowest polymorph listed for this composition is 0 meV/atom. The formation enthalpy at 0 K comes out at 0.153 eV/atom. Its volume is 16.15 Å³ per atom. The value obtained for the spin magnetization is 0.000 μB/atom.

Cell and atoms, written as CIF:
```
data_BeRuPb
_chemical_formula_sum 'Be2 Ru2 Pb2'
_space_group_name_H-M_alt 'I 4 m m'
_space_group_IT_number 107
_space_group_name_Hall 'I 4 -2'
_cell_length_a 3.187
_cell_length_b 3.187
_cell_length_c 9.542
_cell_angle_alpha 90.00
_cell_angle_beta 90.00
_cell_angle_gamma 90.00
loop_
_atom_site_label
_atom_site_fract_x
_atom_site_fract_y
_atom_site_fract_z
_atom_site_occupancy
Be1 0.000 0.000 0.000 1
Ru1 0.000 0.000 0.572 1
Pb1 0.000 0.000 0.277 1
```

Below is a geometry-optimized BeRuPb structure, with properties calculated at the PBE level.

The energy relative to the lowest polymorph listed for this composition is 140 meV/atom. The formation enthalpy at 0 K comes out at 0.294 eV/atom. Its volume is 16.20 Å³ per atom. The value obtained for the spin magnetization is 0.000 μB/atom.

Cell and atoms, written as CIF:
```
data_BeRuPb
_chemical_formula_sum 'Be1 Ru1 Pb1'
_space_group_name_H-M_alt 'P -6 m 2'
_space_group_IT_number 187
_space_group_name_Hall 'P -6 2'
_cell_length_a 3.9587
_cell_length_b 3.9587
_cell_length_c 3.5798
_cell_angle_alpha 90.00
_cell_angle_beta 90.00
_cell_angle_gamma 120.00
loop_
_atom_site_label
_atom_site_fract_x
_atom_site_fract_y
_atom_site_fract_z
_atom_site_occupancy
Be1 0.0000 0.0000 0.0000 1
Ru1 0.3333 0.6667 0.0000 1
Pb1 0.6667 0.3333 0.5000 1
```

Below is a geometry-optimized BeRuPb structure, with properties calculated at the PBE level.

The energy relative to the lowest polymorph listed for this composition is 382 meV/atom. The formation enthalpy at 0 K comes out at 0.536 eV/atom. Its volume is 17.28 Å³ per atom. The value obtained for the spin magnetization is 0.000 μB/atom.

Cell and atoms, written as CIF:
```
data_BeRuPb
_chemical_formula_sum 'Be1 Ru1 Pb1'
_space_group_name_H-M_alt 'P 3 m 1'
_space_group_IT_number 156
_cell_length_a 3.1252
_cell_length_b 3.1252
_cell_length_c 6.1274
_cell_angle_alpha 90.00
_cell_angle_beta 90.00
_cell_angle_gamma 120.00
loop_
_space_group_symop_operation_xyz
'x,y,z'
'-y,x-y,z'
'-x+y,-x,z'
'-y,-x,z'
'-x+y,y,z'
'x,x-y,z'
loop_
_atom_site_label
_atom_site_fract_x
_atom_site_fract_y
_atom_site_fract_z
_atom_site_occupancy
Be1 0.0000 0.0000 0.0000 1
Ru1 0.6667 0.3333 0.7695 1
Pb1 0.3333 0.6667 0.3957 1
```